# Cs3ZnF5

A relaxed Cs3ZnF5 crystal (PBE-GGA, Alexandria).

Output
E = -146.6 eV for the cell shown
Formation energy (no corrections) = -2.6068 eV per atom
Spin magnetization = 0.278 μB/cell

abc: 8.114 8.114 12.925
angles: 90.00 90.00 90.00
Space group I4/mcm (No. 140)
Asymmetric unit:
Cs1 0.000 0.000 0.250 [4 per cell]
Cs2 0.179 0.321 0.000 [8 per cell]
Zn1 0.000 0.500 0.250 [4 per cell]
F1 0.000 0.000 0.000 [4 per cell]
F2 0.133 0.367 0.341 [16 per cell]



# MnSbIrI2

A relaxed MnSbIrI2 crystal (PBE-GGA, Alexandria).

Output
E = -21.7 eV for the cell shown
Formation energy (no corrections) = 0.7148 eV per atom
Spin magnetization = 5.289 μB/cell

abc: 5.653 5.653 4.988
angles: 90.00 90.00 90.00
Space group P4/mmm (No. 123)
Asymmetric unit:
Mn1 0.000 0.000 0.000 [1 per cell]
Sb1 0.500 0.500 0.000 [1 per cell]
Ir1 0.500 0.500 0.500 [1 per cell]
I1 0.000 0.500 0.500 [2 per cell]



# NaPaVN4

A relaxed NaPaVN4 crystal (PBE-GGA, Alexandria).

Output
E = -116.8 eV for the cell shown
Formation energy (no corrections) = -0.7408 eV per atom
Spin magnetization = 0.000 μB/cell

abc: 5.982 5.533 7.134
angles: 90.00 101.82 90.00
Space group P2_1/m (No. 11)
Asymmetric unit:
Na1 0.120 0.250 0.390 [2 per cell]
Pa1 0.288 0.250 0.936 [2 per cell]
V1 0.235 0.750 0.180 [2 per cell]
N1 0.001 0.250 0.691 [2 per cell]
N2 0.058 0.750 0.950 [2 per cell]
N3 0.435 0.505 0.176 [4 per cell]



# PmHo8Th2

A relaxed PmHo8Th2 crystal (PBE-GGA, Alexandria).

Output
E = -108.0 eV for the cell shown
Formation enthalpy at 0 K = 0.2003 eV/atom
Spin magnetization = 0.000 μB/cell

abc: 8.983 16.036 5.938
angles: 90.00 123.48 90.00
Space group C2/m (No. 12)
Asymmetric unit:
Pm1 0.000 0.000 0.000 [2 per cell]
Ho1 0.000 0.210 0.000 [4 per cell]
Ho2 0.073 0.500 0.794 [4 per cell]
Ho3 0.218 0.118 0.678 [8 per cell]
Th1 0.000 0.306 0.500 [4 per cell]



# Er3TmAu

A relaxed Er3TmAu crystal (PBE-GGA, Alexandria).

Output
E = -90.4 eV for the cell shown
Formation enthalpy at 0 K = -0.2332 eV/atom
Spin magnetization = 0.000 μB/cell

abc: 11.269 8.389 7.715
angles: 90.00 124.37 90.00
Space group C2/m (No. 12)
Asymmetric unit:
Er1 0.046 0.000 0.314 [4 per cell]
Er2 0.190 0.298 0.713 [8 per cell]
Tm1 0.079 0.500 0.275 [4 per cell]
Au1 0.228 0.500 0.065 [4 per cell]



# ErHf2Sc3

A relaxed ErHf2Sc3 crystal (PBE-GGA, Alexandria).

Output
E = -169.5 eV for the cell shown
Formation enthalpy at 0 K = 0.1834 eV/atom
Spin magnetization = 0.000 μB/cell

abc: 21.255 3.165 9.378
angles: 90.00 108.24 90.00
Space group C2/m (No. 12)
Asymmetric unit:
Er1 0.183 0.000 0.039 [4 per cell]
Hf1 0.073 0.500 0.151 [4 per cell]
Hf2 0.193 0.000 0.374 [4 per cell]
Sc1 0.060 0.000 0.440 [4 per cell]
Sc2 0.062 0.500 0.777 [4 per cell]
Sc3 0.196 0.000 0.706 [4 per cell]



# FeP2

A relaxed FeP2 crystal (PBE-GGA, Alexandria).

Output
E = -78.9 eV for the cell shown
Formation enthalpy at 0 K = -0.1489 eV/atom
Spin magnetization = 4.442 μB/cell

abc: 3.050 10.969 4.452
angles: 90.00 90.00 90.00
Space group Cmcm (No. 63)
Asymmetric unit:
Fe1 0.000 0.198 0.250 [4 per cell]
P1 0.000 0.145 0.750 [4 per cell]
P2 0.000 0.466 0.750 [4 per cell]



# KAgAu

A relaxed KAgAu crystal (PBE-GGA, Alexandria).

Output
E = -6.6 eV for the cell shown
Formation enthalpy at 0 K = 0.2222 eV/atom
Spin magnetization = 0.000 μB/cell

abc: 3.2011 3.2011 7.8403
angles: 90.00 90.00 120.00
Space group P3m1 (No. 156)
Asymmetric unit:
K1 0.0000 0.0000 0.0000 [1 per cell]
Ag1 0.6667 0.3333 0.3657 [1 per cell]
Au1 0.3333 0.6667 0.6556 [1 per cell]



# PaBeNi2

A relaxed PaBeNi2 crystal (PBE-GGA, Alexandria).

Output
E = -78.6 eV for the cell shown
Formation enthalpy at 0 K = -0.3552 eV/atom
Spin magnetization = 0.000 μB/cell

abc: 3.8569 3.8569 13.5881
angles: 90.00 90.00 120.00
Space group R-3m (No. 166, hexagonal axes)
Asymmetric unit:
Pa1 0.0000 0.0000 0.0000 [3 per cell]
Be1 0.0000 0.0000 0.5000 [3 per cell]
Ni1 0.0000 0.0000 0.2115 [6 per cell]



# ErPd2Pt5

A relaxed ErPd2Pt5 crystal (PBE-GGA, Alexandria).

Output
E = -98.1 eV for the cell shown
Formation enthalpy at 0 K = -0.4859 eV/atom
Spin magnetization = 0.000 μB/cell

abc: 5.704 11.571 3.987
angles: 90.00 90.00 90.00
Space group Pbam (No. 55)
Asymmetric unit:
Er1 0.000 0.000 0.000 [2 per cell]
Pd1 0.249 0.125 0.500 [4 per cell]
Pt1 0.000 0.500 0.000 [2 per cell]
Pt2 0.013 0.752 0.000 [4 per cell]
Pt3 0.237 0.371 0.500 [4 per cell]



# In2AgF8

A relaxed In2AgF8 crystal (PBE-GGA, Alexandria).

Output
E = -91.1 eV for the cell shown
Formation energy (no corrections) = -2.0209 eV per atom
Spin magnetization = 1.985 μB/cell

abc: 6.580 9.616 4.491
angles: 90.00 104.94 90.00
Space group C2/m (No. 12)
Asymmetric unit:
In1 0.000 0.186 0.000 [4 per cell]
Ag1 0.000 0.500 0.500 [2 per cell]
F1 0.000 0.280 0.500 [4 per cell]
F2 0.126 0.000 0.288 [4 per cell]
F3 0.206 0.364 0.103 [8 per cell]



# BaPmInPb

A relaxed BaPmInPb crystal (PBE-GGA, Alexandria).

Output
E = -58.3 eV for the cell shown
Formation enthalpy at 0 K = -0.3661 eV/atom
Spin magnetization = 0.000 μB/cell

abc: 8.169 8.169 8.169
angles: 90.00 90.00 90.00
Space group F-43m (No. 216)
Asymmetric unit:
Ba1 0.000 0.000 0.000 [4 per cell]
Pm1 0.000 0.000 0.500 [4 per cell]
In1 0.250 0.250 0.250 [4 per cell]
Pb1 0.250 0.250 0.750 [4 per cell]



# SmScCd

A relaxed SmScCd crystal (PBE-GGA, Alexandria).

Output
E = -12.2 eV for the cell shown
Formation enthalpy at 0 K = -0.0800 eV/atom
Spin magnetization = 0.001 μB/cell

abc: 5.1199 5.1199 3.5849
angles: 90.00 90.00 120.00
Space group P3m1 (No. 156)
Asymmetric unit:
Sm1 0.0000 0.0000 0.0000 [1 per cell]
Sc1 0.3333 0.6667 0.4963 [1 per cell]
Cd1 0.6667 0.3333 0.5091 [1 per cell]



# Ti2AlCo

A relaxed Ti2AlCo crystal (PBE-GGA, Alexandria).

Output
E = -27.9 eV for the cell shown
Formation enthalpy at 0 K = -0.3217 eV/atom
Spin magnetization = 0.002 μB/cell

abc: 3.105 3.105 6.067
angles: 90.00 90.00 90.00
Space group P4/mmm (No. 123)
Asymmetric unit:
Ti1 0.000 0.000 0.225 [2 per cell]
Al1 0.500 0.500 0.500 [1 per cell]
Co1 0.500 0.500 0.000 [1 per cell]



# Ba2DyGaTe5

A relaxed Ba2DyGaTe5 crystal (PBE-GGA, Alexandria).

Output
E = -155.5 eV for the cell shown
Formation energy (no corrections) = -1.2983 eV per atom
Spin magnetization = 0.000 μB/cell

abc: 4.509 20.634 14.228
angles: 90.00 90.00 90.00
Space group Cmc2_1 (No. 36)
Asymmetric unit:
Ba1 0.000 0.122 0.000 [4 per cell]
Ba2 0.000 0.125 0.636 [4 per cell]
Dy1 0.000 0.206 0.338 [4 per cell]
Ga1 0.000 0.438 0.744 [4 per cell]
Te1 0.000 0.048 0.353 [4 per cell]
Te2 0.000 0.295 0.983 [4 per cell]
Te3 0.000 0.312 0.684 [4 per cell]
Te4 0.000 0.351 0.319 [4 per cell]
Te5 0.000 0.499 0.583 [4 per cell]



# Tb6InHg

A relaxed Tb6InHg crystal (PBE-GGA, Alexandria).

Output
E = -32.5 eV for the cell shown
Formation enthalpy at 0 K = -0.2133 eV/atom
Spin magnetization = 1.898 μB/cell

abc: 4.846 4.846 9.675
angles: 90.00 90.00 90.00
Space group P4/mmm (No. 123)
Asymmetric unit:
Tb1 0.000 0.000 0.000 [1 per cell]
Tb2 0.000 0.000 0.500 [1 per cell]
Tb3 0.000 0.500 0.248 [4 per cell]
In1 0.500 0.500 0.500 [1 per cell]
Hg1 0.500 0.500 0.000 [1 per cell]



# TaCl3

A relaxed TaCl3 crystal (PBE-GGA, Alexandria).

Output
E = -18.7 eV for the cell shown
Formation energy (no corrections) = -0.3254 eV per atom
Spin magnetization = 0.281 μB/cell

abc: 3.036 3.036 8.598
angles: 90.00 90.00 90.00
Space group P4/mmm (No. 123)
Asymmetric unit:
Ta1 0.000 0.000 0.000 [1 per cell]
Cl1 0.000 0.000 0.500 [1 per cell]
Cl2 0.500 0.500 0.178 [2 per cell]



# ZrTaRe2

A relaxed ZrTaRe2 crystal (PBE-GGA, Alexandria).

Output
E = -91.6 eV for the cell shown
Formation enthalpy at 0 K = -0.1198 eV/atom
Spin magnetization = 0.000 μB/cell

abc: 3.225 4.687 9.023
angles: 90.00 90.00 90.00
Space group Cmmm (No. 65)
Asymmetric unit:
Zr1 0.000 0.000 0.000 [2 per cell]
Ta1 0.000 0.000 0.500 [2 per cell]
Re1 0.000 0.500 0.259 [4 per cell]



# Cs2RbHgS

A relaxed Cs2RbHgS crystal (PBE-GGA, Alexandria).

Output
E = -10.0 eV for the cell shown
Formation energy (no corrections) = -0.5726 eV per atom
Spin magnetization = 0.000 μB/cell

abc: 6.805 6.805 6.410
angles: 90.00 90.00 90.00
Space group P4/mmm (No. 123)
Asymmetric unit:
Cs1 0.000 0.500 0.000 [2 per cell]
Rb1 0.000 0.000 0.500 [1 per cell]
Hg1 0.500 0.500 0.500 [1 per cell]
S1 0.000 0.000 0.000 [1 per cell]



# RbCaCu3

A relaxed RbCaCu3 crystal (PBE-GGA, Alexandria).

Output
E = -11.9 eV for the cell shown
Formation enthalpy at 0 K = 0.6716 eV/atom
Spin magnetization = 0.000 μB/cell

abc: 5.555 5.555 5.555
angles: 90.00 90.00 90.00
Space group Pm-3m (No. 221)
Asymmetric unit:
Rb1 0.000 0.000 0.000 [1 per cell]
Ca1 0.500 0.500 0.500 [1 per cell]
Cu1 0.000 0.500 0.500 [3 per cell]



# KHgW2

A relaxed KHgW2 crystal (PBE-GGA, Alexandria).

Output
E = -44.7 eV for the cell shown
Formation enthalpy at 0 K = 1.2449 eV/atom
Spin magnetization = 0.000 μB/cell

abc: 3.083 4.709 11.262
angles: 90.00 90.00 90.00
Space group Cmmm (No. 65)
Asymmetric unit:
K1 0.000 0.000 0.000 [2 per cell]
Hg1 0.000 0.000 0.500 [2 per cell]
W1 0.000 0.500 0.277 [4 per cell]



# Zr2CoAs2

A relaxed Zr2CoAs2 crystal (PBE-GGA, Alexandria).

Output
E = -73.5 eV for the cell shown
Formation enthalpy at 0 K = -0.6468 eV/atom
Spin magnetization = 2.196 μB/cell

abc: 6.843 6.843 3.775
angles: 90.00 90.00 90.00
Space group P4/mbm (No. 127)
Asymmetric unit:
Zr1 0.159 0.341 0.000 [4 per cell]
Co1 0.000 0.000 0.500 [2 per cell]
As1 0.151 0.651 0.500 [4 per cell]



# BeCuSi2

A relaxed BeCuSi2 crystal (PBE-GGA, Alexandria).

Output
E = -17.9 eV for the cell shown
Formation energy (no corrections) = 0.1872 eV per atom
Spin magnetization = 0.000 μB/cell

abc: 2.475 3.289 6.311
angles: 90.00 101.13 90.00
Space group Pm (No. 6)
Asymmetric unit:
Be1 0.000 0.000 0.000 [1 per cell]
Cu1 0.598 0.500 0.200 [1 per cell]
Si1 0.222 0.000 0.441 [1 per cell]
Si2 0.393 0.500 0.781 [1 per cell]



# NaTlSn6

A relaxed NaTlSn6 crystal (PBE-GGA, Alexandria).

Output
E = -55.5 eV for the cell shown
Formation enthalpy at 0 K = -0.0061 eV/atom
Spin magnetization = 0.000 μB/cell

abc: 5.275 7.181 11.934
angles: 90.00 90.00 90.00
Space group Amm2 (No. 38)
Asymmetric unit:
Na1 0.000 0.000 0.000 [2 per cell]
Tl1 0.500 0.000 0.300 [2 per cell]
Sn1 0.000 0.000 0.496 [2 per cell]
Sn2 0.000 0.216 0.730 [4 per cell]
Sn3 0.500 0.000 0.833 [2 per cell]
Sn4 0.500 0.237 0.562 [4 per cell]



# AcTbNiRh

A relaxed AcTbNiRh crystal (PBE-GGA, Alexandria).

Output
E = -94.2 eV for the cell shown
Formation enthalpy at 0 K = -0.4197 eV/atom
Spin magnetization = 0.000 μB/cell

abc: 7.134 7.134 7.134
angles: 90.00 90.00 90.00
Space group F-43m (No. 216)
Asymmetric unit:
Ac1 0.000 0.000 0.000 [4 per cell]
Tb1 0.000 0.000 0.500 [4 per cell]
Ni1 0.250 0.250 0.250 [4 per cell]
Rh1 0.250 0.250 0.750 [4 per cell]